# 1
TiGe2Rh | PBE | optimized geometry

Results
Energy of formation from the pure elements ... -0.1894 eV per atom

a = 3.893 Å, b = 3.893 Å, c = 17.900 Å
α = 90.00°, β = 90.00°, γ = 90.00°
Space group I-42d (No. 122)
Inequivalent atoms, fractional coordinates:
1 Ti 0.000 0.000 0.000 x4
2 Ge 0.237 0.250 0.625 x8
3 Rh 0.000 0.000 0.500 x4

---

# 2
Ta2InAsOs | PBE | optimized geometry

Results
Energy of formation from the pure elements ... 1.5029 eV per atom

a = 4.682 Å, b = 4.682 Å, c = 4.870 Å
α = 90.00°, β = 90.00°, γ = 90.00°
Space group P4/mmm (No. 123)
Inequivalent atoms, fractional coordinates:
1 Ta 0.000 0.500 0.000 x2
2 In 0.000 0.000 0.500 x1
3 As 0.000 0.000 0.000 x1
4 Os 0.500 0.500 0.500 x1

---

no.,DOS(E_F) (states/eV per cell)
1,22.17
2,5.57